The following is a DFT calculation (PBE) of an optimized crystal structure of Pr3Tl3InS8.

a b c (Å): 8.2881 8.2881 21.9876
angles (deg): 90.00 90.00 120.00
With the nearest neighbours (Å) after each atom.
Space group R-3m (No. 166, hexagonal axes)
Asymmetric unit:
Pr 0.0000 0.5000 0.0000 (multiplicity 9)  6 S 2.85-2.88
Tl 0.0000 0.5000 0.5000 (multiplicity 9)  6 S 3.18-3.19
In 0.0000 0.0000 0.0000 (multiplicity 3)  6 S 2.70
S 0.0000 0.0000 0.2627 (multiplicity 6)  3 Pr 2.85, 3 Tl 3.19
S 0.0191 0.5096 0.7345 (multiplicity 18)  1 In 2.70, 2 Pr 2.88

For the energy, the calculation gives -4.9794 eV per atom. Its size of the total moment is 0.000 μB/atom. As for the crystal system: trigonal.